Record 1
Below is an optimized crystal structure of Pm3CoPd2, with properties calculated at the PBE level.

```
Pm3CoPd2
1.0
6.583 -2.900 0.000
6.583 2.900 0.000
-2.475 0.000 7.687
Pm Co Pd
6 2 4
Cartesian
4.727 2.897 5.766
2.294 0.021 7.102
3.531 -0.021 3.258
7.159 0.021 4.429
8.397 -0.021 0.586
5.964 -2.897 1.922
5.964 0.004 1.922
4.727 -0.004 5.766
0.833 0.023 4.511
2.070 -0.023 0.667
8.620 0.023 7.020
9.858 -0.023 3.177
```


Record 2
Below is an optimized crystal structure of Pm8CoPd2, with properties calculated at the PBE level.

```
Pm8CoPd2
1.0
8.775 -2.565 0.000
8.775 2.565 0.000
-1.325 0.000 6.773
Pm Co Pd
8 1 2
Cartesian
0.152 0.000 1.934
2.462 0.000 5.607
5.267 0.000 3.584
7.160 0.000 0.406
9.064 0.000 6.366
10.958 0.000 3.189
13.763 0.000 1.166
16.073 0.000 4.839
8.112 0.000 3.386
3.134 0.000 1.625
13.091 0.000 5.148
```


Record 3
Below is an optimized crystal structure of Pm7Co2Pd2, with properties calculated at the PBE level.

```
Pm7Co2Pd2
1.0
3.842 -5.565 0.000
3.842 5.565 0.000
0.000 0.000 6.892
Pm Co Pd
7 2 2
Cartesian
0.000 0.000 0.000
1.921 2.782 1.778
1.921 2.782 5.114
1.921 -2.782 1.778
1.921 -2.782 5.114
3.842 0.000 1.720
3.842 0.000 5.172
3.842 2.278 0.000
3.842 -2.278 0.000
1.399 0.000 3.446
6.285 0.000 3.446
```


Record 4
Below is an optimized crystal structure of Pm8CoPd2, with properties calculated at the PBE level.

```
Pm8CoPd2
1.0
4.467 -6.270 0.000
4.467 6.270 0.000
-2.611 0.000 5.820
Pm Co Pd
8 1 2
Cartesian
0.000 0.000 0.000
-0.156 1.723 3.134
2.786 1.949 1.033
-0.156 -1.723 3.134
3.117 1.673 4.780
2.786 -1.949 1.033
3.117 -1.673 4.780
5.474 0.000 2.346
2.019 0.000 2.607
1.498 3.924 4.106
1.498 -3.924 4.106
```


Record 5
Below is an optimized crystal structure of PmCoPd, with properties calculated at the PBE level.

```
PmCoPd
1.0
4.187 0.000 0.000
-2.093 3.626 0.000
0.000 0.000 3.936
Pm Co Pd
1 1 1
Cartesian
0.000 0.000 0.000
0.000 2.417 1.968
2.093 1.209 1.968
```


Record 6
Below is an optimized crystal structure of PmPrCoPd, with properties calculated at the PBE level.

```
PmPrCoPd
1.0
0.000 3.549 3.549
3.549 0.000 3.549
3.549 3.549 0.000
Pm Pr Co Pd
1 1 1 1
Cartesian
0.000 0.000 0.000
3.549 3.549 3.549
5.323 5.323 5.323
1.774 1.774 1.774
```


Record 7
Below is an optimized crystal structure of PmCoSnPd, with properties calculated at the PBE level.

```
PmCoSnPd
1.0
0.000 3.383 3.383
3.383 0.000 3.383
3.383 3.383 0.000
Pm Co Sn Pd
1 1 1 1
Cartesian
0.000 0.000 0.000
5.075 5.075 5.075
3.383 3.383 3.383
1.692 1.692 1.692
```


Record 8
Below is an optimized crystal structure of TbPmCoPd, with properties calculated at the PBE level.

```
TbPmCoPd
1.0
0.000 3.485 3.485
3.485 0.000 3.485
3.485 3.485 0.000
Tb Pm Co Pd
1 1 1 1
Cartesian
0.000 0.000 0.000
3.485 3.485 3.485
1.742 1.742 1.742
5.227 5.227 5.227
```


Number 1: ρ 7.996 g cm⁻³, energy relative to the elements -38.1 kJ per mole of atoms, total DFT energy (no corrections) -68.2 eV per cell. Number 2: ρ 7.800 g cm⁻³, energy relative to the elements -25.9 kJ per mole of atoms, total DFT energy (no corrections) -58.4 eV per cell. Number 3: ρ 7.582 g cm⁻³, energy relative to the elements -20.4 kJ per mole of atoms, total DFT energy (no corrections) -60.2 eV per cell. Number 4: ρ 7.293 g cm⁻³, energy relative to the elements -19.2 kJ per mole of atoms, total DFT energy (no corrections) -57.7 eV per cell. Number 5: ρ 8.624 g cm⁻³, energy relative to the elements -31.0 kJ per mole of atoms, total DFT energy (no corrections) -18.0 eV per cell. Number 6: ρ 8.382 g cm⁻³, energy relative to the elements -30.7 kJ per mole of atoms, total DFT energy (no corrections) -23.1 eV per cell. Number 7: ρ 9.201 g cm⁻³, energy relative to the elements -40.8 kJ per mole of atoms, total DFT energy (no corrections) -22.7 eV per cell. Number 8: ρ 9.206 g cm⁻³, energy relative to the elements -38.9 kJ per mole of atoms, total DFT energy (no corrections) -23.3 eV per cell.